First-principles (PBE-GGA) data for a relaxed structure of PmGdSe2I2, as listed in OQMD via LeMat-Bulk.

Results
Magnetic moment: 0.0014 μB per atom
E: -4.80 eV/atom

Unit cell a=4.9501 b=4.9501 c=7.7090 alpha=90.00 beta=90.00 gamma=90.00
Space group P4mm (No. 99)
Asymmetric unit:
1 Pm 0.0000 0.0000 0.0000 [1 per cell]
2 Gd 0.5000 0.5000 0.3902 [1 per cell]
3 Se 0.0000 0.5000 0.2010 [2 per cell]
4 I 0.0000 0.0000 0.5823 [1 per cell]
5 I 0.5000 0.5000 0.8093 [1 per cell]